*A*
Pm8Ag2Hg | PBE | optimized geometry

extended XYZ file:
```
11
Lattice="-0.2568 -1.2573 -5.2914 0.0385 -8.3673 1.9862 -6.9228 4.7570 2.0070" Properties=species:S:1:pos:R:3 pbc="T T T"
Hg -0.1284 -0.6286 -2.6457
Ag -3.1508 -3.3000 0.9370
Ag -3.9903 -1.5675 -2.2352
Pm -1.4671 -3.6333 -1.8668
Pm -4.4796 2.2721 -0.3224
Pm -1.9638 -0.4784 0.2090
Pm -0.9641 -5.4553 1.3430
Pm -5.1774 -4.3891 -1.5071
Pm -2.6615 -7.1397 -0.9757
Pm -5.6741 -1.2342 0.5687
Pm -6.1770 0.5877 -2.6411
```

## Properties
symmetry	C2/m (12)

*B*
Pm8Ag2Hg | PBE | optimized geometry

extended XYZ file:
```
11
Lattice="5.2972 0.0000 0.0000 0.0000 7.2390 0.1435 -2.6486 -2.9353 8.7192" Properties=species:S:1:pos:R:3 pbc="T T T"
Pm 0.0000 1.4871 7.1983
Pm 2.6486 6.0811 3.1001
Pm 2.6486 3.1507 5.3981
Pm 2.6486 -1.0904 8.2814
Pm 0.0000 1.1529 3.4646
Pm 0.0000 -1.7774 5.7626
Pm 2.6486 2.8165 1.6645
Pm 0.0000 5.3941 0.5813
Ag 2.6486 0.1801 5.5774
Ag 0.0000 4.1236 3.2853
Hg 2.6486 0.0000 0.0000
```

## Properties
symmetry	C2/m (12)

Energies relative to the minimum, eV/atom: *A* 0.000; *B* 0.009